The following is a DFT calculation (PBE-GGA) of an optimized crystal structure of VNi6Sb.

```
data_VNi6Sb
_chemical_formula_sum 'V1 Ni6 Sb1'
_cell_length_a 3.6466
_cell_length_b 3.6466
_cell_length_c 7.3038
_cell_angle_alpha 90.00
_cell_angle_beta 90.00
_cell_angle_gamma 90.00
_space_group_name_H-M_alt 'P 4/m m m'
_space_group_IT_number 123
_space_group_name_Hall '-P 4 2'
loop_
_atom_site_label
_atom_site_fract_x
_atom_site_fract_y
_atom_site_fract_z
V1 0.0000 0.0000 0.0000
Ni1 0.0000 0.5000 0.2321
Ni2 0.5000 0.5000 0.0000
Ni3 0.5000 0.5000 0.5000
Sb1 0.0000 0.0000 0.5000
```

Properties
**Uncorrected energy**: -49.3 eV for the cell shown
**Total magnetization**: 0.000 μB/cell
**ΔE_f (raw)**: -0.18 eV per atom
**Calculated volume**: 12.1 Å³ per atom